Record 1
The following is a PBE calculation of a relaxed structure of SrTi2Pd2, from the Alexandria database.

As for the distance to the lowest polymorph of the same formula: 0 meV per atom. Its calculated formation energy is -0.34 eV/atom.

```
10
Lattice="4.443 0.000 0.000 0.000 4.443 0.000 0.000 0.000 10.925" Properties=species:S:1:pos:R:3 pbc="T T T"
Sr 0.000 0.000 0.000
Sr 2.222 2.222 5.462
Ti 0.000 2.222 2.731
Ti 0.000 2.222 8.194
Ti 2.222 0.000 2.731
Ti 2.222 0.000 8.194
Pd 0.000 0.000 4.059
Pd 0.000 0.000 6.866
Pd 2.222 2.222 1.404
Pd 2.222 2.222 9.521
```

Record 2
The following is a PBE calculation of a relaxed structure of SrTi2PdW, from the Alexandria database.

Its calculated formation energy is 0.98 eV/atom.

```
5
Lattice="4.700 0.000 0.000 0.000 4.700 0.000 0.000 0.000 5.997" Properties=species:S:1:pos:R:3 pbc="T T T"
Sr 0.000 0.000 0.000
Ti 0.000 2.350 2.999
Ti 2.350 0.000 2.999
Pd 2.350 2.350 0.000
W 0.000 0.000 2.999
```

Record 3
The following is a PBE calculation of a relaxed structure of SrZrTi2Pd, from the Alexandria database.

Its calculated formation energy is 0.72 eV/atom.

```
5
Lattice="4.939 0.000 0.000 0.000 4.939 0.000 0.000 0.000 5.432" Properties=species:S:1:pos:R:3 pbc="T T T"
Sr 0.000 0.000 0.000
Zr 2.469 2.469 0.000
Ti 0.000 2.469 2.716
Ti 2.469 0.000 2.716
Pd 0.000 0.000 2.716
```

no.,energy (eV/cell),magnetic moment (μB per formula unit)
1,-59.08,0.00
2,-30.70,0.00
3,-27.60,3.28